Density functional theory data (PBE) for a relaxed ZrPa2Ti crystal.

Results
VASP energy: -70.02 eV per cell
spin magnetization: 0.00 μB per cell
crystal system: monoclinic
energy relative to the elements: 0.106 eV/atom
E above lowest polymorph: 0 meV per atom

abc: 4.968 4.974 7.216
angles: 90.00 90.51 90.00
Space group P2_1/m (No. 11)
Unique sites:
Zr (0.024, 0.250, 0.383) (multiplicity 2)
Pa (0.001, 0.750, 0.127) (multiplicity 2)
Pa (0.495, 0.750, 0.871) (multiplicity 2)
Ti (0.480, 0.750, 0.384) (multiplicity 2)